Record 1
This record from Alexandria describes an optimized crystal structure of La2Pr8Nd. The functional is PBE.

- energy (eV per atom) = -4.670
- excess energy over the best structure of this formula in the dataset (meV/atom) = 0
- density of states at the Fermi level (states/eV per atom) = 1.71
- DFT formation energy (eV per formula unit) = 1.49
- ρ (g/cm³) = 6.35
- total magnetization (μB/cell) = 0.0

```
data_La2Pr8Nd
_chemical_formula_sum 'La4 Pr16 Nd2'
_space_group_name_H-M_alt 'C 1 2/m 1'
_space_group_IT_number 12
_cell_length_a 17.190
_cell_length_b 6.935
_cell_length_c 6.916
_cell_angle_alpha 90.00
_cell_angle_beta 100.38
_cell_angle_gamma 90.00
loop_
_space_group_symop_operation_xyz
'x,y,z'
'-x,-y,-z'
'-x,y,-z'
'x,-y,z'
'x+1/2,y+1/2,z'
'-x+1/2,-y+1/2,-z'
'-x+1/2,y+1/2,-z'
'x+1/2,-y+1/2,z'
loop_
_atom_site_label
_atom_site_fract_x
_atom_site_fract_y
_atom_site_fract_z
La1 0.199 0.000 0.310
Pr1 0.088 0.263 0.909
Pr2 0.090 0.500 0.413
Pr3 0.244 0.000 0.816
Nd1 0.000 0.000 0.500
```

Record 2
This record from Alexandria describes an optimized crystal structure of La4Pr8Nd3. The functional is PBE.

- energy (eV per atom) = -4.549
- density of states at the Fermi level (states/eV per atom) = 1.76
- DFT formation energy (eV per formula unit) = 4.02
- ρ (g/cm³) = 6.39
- total magnetization (μB/cell) = 0.2

```
data_La4Pr8Nd3
_chemical_formula_sum 'La8 Pr16 Nd6'
_space_group_name_H-M_alt 'C 1 2/m 1'
_space_group_IT_number 12
_cell_length_a 14.354
_cell_length_b 12.509
_cell_length_c 7.021
_cell_angle_alpha 90.00
_cell_angle_beta 119.27
_cell_angle_gamma 90.00
loop_
_space_group_symop_operation_xyz
'x,y,z'
'-x,-y,-z'
'-x,y,-z'
'x,-y,z'
'x+1/2,y+1/2,z'
'-x+1/2,-y+1/2,-z'
'-x+1/2,y+1/2,-z'
'x+1/2,-y+1/2,z'
loop_
_atom_site_label
_atom_site_fract_x
_atom_site_fract_y
_atom_site_fract_z
La1 0.000 0.000 0.000
La2 0.000 0.000 0.500
La3 0.250 0.250 0.000
Pr1 0.000 0.248 0.000
Pr2 0.000 0.298 0.500
Pr3 0.203 0.500 0.703
Pr4 0.248 0.000 0.744
Nd1 0.000 0.500 0.000
Nd2 0.250 0.250 0.500
```

Record 3
This record from Alexandria describes an optimized crystal structure of LaPr3Nd6. The functional is PBE.

- energy (eV per atom) = -4.558
- excess energy over the best structure of this formula in the dataset (meV/atom) = 104
- density of states at the Fermi level (states/eV per atom) = 2.03
- DFT formation energy (eV per formula unit) = 2.29
- ρ (g/cm³) = 6.57
- total magnetization (μB/cell) = 0.0

```
data_LaPr3Nd6
_chemical_formula_sum 'La3 Pr9 Nd18'
_space_group_name_H-M_alt 'R 3'
_space_group_IT_number 146
_space_group_name_Hall 'R 3'
_cell_length_a 10.1797
_cell_length_b 10.1797
_cell_length_c 12.0657
_cell_angle_alpha 90.00
_cell_angle_beta 90.00
_cell_angle_gamma 120.00
loop_
_atom_site_label
_atom_site_fract_x
_atom_site_fract_y
_atom_site_fract_z
La1 0.0000 0.0000 0.0000
Pr1 0.0000 0.0000 0.2496
Pr2 0.0000 0.0000 0.5001
Pr3 0.0000 0.0000 0.7507
Nd1 0.9999 0.3254 0.0005
Nd2 0.9999 0.6759 0.5005
```